# 1
The following is a PBE calculation of PaGaP after structural relaxation, from Alexandria.

Cell lengths 4.1732, 4.1732, 3.8209 Å; angles 90.00, 90.00, 120.00 degrees
Space group P-6m2 (No. 187)
One atom of each set of equivalent atoms:
Pa 0.0000 0.0000 0.0000 [1 per cell]
Ga 0.3333 0.6667 0.5000 [1 per cell]
P 0.6667 0.3333 0.5000 [1 per cell]

Computed properties:
The total energy is -6.476 eV per atom. The formation energy is -0.499 eV per atom. For the total magnetic moment, the calculation gives 0.00 Bohr magnetons per cell.



# 2
The following is a PBE calculation of CoNi6Mo2 after structural relaxation, from Alexandria.

Cell lengths 10.972, 3.577, 5.745 Å; angles 90.00, 108.95, 90.00 degrees
Space group C2/m (No. 12)
One atom of each set of equivalent atoms:
Co 0.000 0.000 0.000 [2 per cell]
Ni 0.109 0.000 0.668 [4 per cell]
Ni 0.168 0.500 0.999 [4 per cell]
Ni 0.223 0.000 0.333 [4 per cell]
Mo 0.059 0.500 0.321 [4 per cell]

Computed properties:
The total energy is -7.073 eV per atom. The formation energy is -0.022 eV per atom. For the total magnetic moment, the calculation gives 0.00 Bohr magnetons per cell.



# 3
The following is a PBE calculation of BaAl2CrPb after structural relaxation, from Alexandria.

Cell lengths 5.036, 5.036, 5.738 Å; angles 90.00, 90.00, 90.00 degrees
Space group P4/mmm (No. 123)
One atom of each set of equivalent atoms:
Ba 0.000 0.000 0.000 [1 per cell]
Al 0.000 0.500 0.500 [2 per cell]
Cr 0.000 0.000 0.500 [1 per cell]
Pb 0.500 0.500 0.000 [1 per cell]

Computed properties:
The total energy is -4.083 eV per atom. The formation energy is 0.465 eV per atom. For the total magnetic moment, the calculation gives 3.09 Bohr magnetons per cell.



# 4
The following is a PBE calculation of Tb2Co12Si7 after structural relaxation, from Alexandria.

Cell lengths 9.1329, 9.1329, 3.6550 Å; angles 90.00, 90.00, 120.00 degrees
Space group P-6 (No. 174)
One atom of each set of equivalent atoms:
Tb 0.0000 0.0000 0.0000 [1 per cell]
Tb 0.3333 0.6667 0.5000 [1 per cell]
Co 0.0459 0.7646 0.5000 [3 per cell]
Co 0.1041 0.3897 0.0000 [3 per cell]
Co 0.3895 0.2050 0.0000 [3 per cell]
Co 0.5479 0.1111 0.5000 [3 per cell]
Si 0.0623 0.6179 0.0000 [3 per cell]
Si 0.2678 0.0398 0.5000 [3 per cell]
Si 0.6667 0.3333 0.0000 [1 per cell]

Computed properties:
The total energy is -6.902 eV per atom. For the total magnetic moment, the calculation gives 0.66 Bohr magnetons per cell. The formation energy without anion corrections is -1200 kJ/mol of formula units.



# 5
The following is a PBE calculation of LiCr5S8 after structural relaxation, from Alexandria.

Cell lengths 18.135, 3.468, 8.771 Å; angles 90.00, 105.48, 90.00 degrees
Space group Cm (No. 8)
One atom of each set of equivalent atoms:
Li 0.000 0.000 0.000 [2 per cell]
Cr 0.041 0.000 0.340 [2 per cell]
Cr 0.085 0.000 0.695 [2 per cell]
Cr 0.179 0.500 0.025 [2 per cell]
Cr 0.224 0.500 0.390 [2 per cell]
Cr 0.380 0.000 0.361 [2 per cell]
S 0.053 0.500 0.849 [2 per cell]
S 0.120 0.500 0.520 [2 per cell]
S 0.143 0.000 0.204 [2 per cell]
S 0.208 0.000 0.872 [2 per cell]
S 0.297 0.000 0.531 [2 per cell]
S 0.303 0.500 0.213 [2 per cell]
S 0.458 0.500 0.506 [2 per cell]
S 0.467 0.000 0.188 [2 per cell]

Computed properties:
The total energy is -6.691 eV per atom. For the total magnetic moment, the calculation gives 30.01 Bohr magnetons per cell. The formation energy without anion corrections is -1024 kJ/mol of formula units.



# 6
The following is a PBE calculation of AcThAu2 after structural relaxation, from Alexandria.

Cell lengths 7.613, 7.613, 7.613 Å; angles 90.00, 90.00, 90.00 degrees
Space group Fm-3m (No. 225)
One atom of each set of equivalent atoms:
Ac 0.000 0.000 0.000 [4 per cell]
Th 0.000 0.000 0.500 [4 per cell]
Au 0.250 0.250 0.250 [8 per cell]

Computed properties:
The total energy is -5.122 eV per atom. The formation energy is -0.601 eV per atom. For the total magnetic moment, the calculation gives 0.00 Bohr magnetons per cell. As for the energy above the lowest structure with this stoichiometry: 72.0 meV/atom.



# 7
The following is a PBE calculation of KBaFe3 after structural relaxation, from Alexandria.

Cell lengths 5.359, 5.359, 5.359 Å; angles 90.00, 90.00, 90.00 degrees
Space group Pm-3m (No. 221)
One atom of each set of equivalent atoms:
K 0.000 0.000 0.000 [1 per cell]
Ba 0.500 0.500 0.500 [1 per cell]
Fe 0.000 0.000 0.500 [3 per cell]

Computed properties:
The total energy is -3.788 eV per atom. The formation energy is 1.894 eV per atom. For the total magnetic moment, the calculation gives 9.16 Bohr magnetons per cell. As for the energy above the lowest structure with this stoichiometry: 0.0 meV/atom.



# 8
The following is a PBE calculation of TiCo2Ni2 after structural relaxation, from Alexandria.

Cell lengths 6.860, 6.860, 2.558 Å; angles 90.00, 90.00, 90.00 degrees
Space group P4/mbm (No. 127)
One atom of each set of equivalent atoms:
Ti 0.000 0.000 0.000 [2 per cell]
Co 0.123 0.377 0.000 [4 per cell]
Ni 0.173 0.673 0.500 [4 per cell]

Computed properties:
The total energy is -6.772 eV per atom. The formation energy is -0.038 eV per atom. For the total magnetic moment, the calculation gives 6.81 Bohr magnetons per cell. As for the energy above the lowest structure with this stoichiometry: 0.0 meV/atom.